The following is a DFT calculation (PBE) of a geometry-optimized Cd2FePt structure.

Calculated values
**SG**: P2/m (10)
**E_form**: 0.072 eV per atom
**Size of the total moment**: 0.75 μB/atom

abc: 4.9842 2.8998 4.9937
angles: 90.00 108.76 90.00
With the nearest neighbours (Å) after each atom.
Fractional coordinates of all 4 atoms:
Cd 0.0000 0.0000 0.0000  4 Pt 2.88, 6 Cd 2.89-2.90, 2 Fe 2.91
Cd 0.0000 0.5000 0.5000  4 Fe 2.88, 6 Cd 2.89-2.90, 2 Pt 2.91
Fe 0.5000 0.0000 0.5000  6 Cd 2.88-2.91, 4 Pt 2.89, 2 Fe 2.90
Pt 0.5000 0.5000 0.0000  6 Cd 2.88-2.91, 4 Fe 2.89, 2 Pt 2.90

The following is a DFT calculation (PBE) of a geometry-optimized LiCeErRe structure.

Calculated values
**SG**: F-43m (216)
**E_form**: 0.045 eV per atom
**Size of the total moment**: 0.02 μB/atom

abc: 4.9176 4.9176 4.9176
angles: 60.00 60.00 60.00
With the nearest neighbours (Å) after each atom.
Fractional coordinates of all 4 atoms:
Li 0.0000 0.0000 0.0000  4 Er 3.01, 4 Ce 3.01
Ce 0.2500 0.2500 0.2500  4 Re 3.01, 4 Li 3.01
Er 0.7500 0.7500 0.7500  4 Re 3.01, 4 Li 3.01
Re 0.5000 0.5000 0.5000  4 Er 3.01, 4 Ce 3.01

The following is a DFT calculation (PBE) of a geometry-optimized AlHgPb2 structure.

Calculated values
**SG**: P4/mmm (123)
**E_form**: 0.129 eV per atom
**Polymorph energy (0 for the lowest one)**: 0.0067 eV/atom
**Size of the total moment**: 0.00 μB/atom

abc: 3.5484 3.5484 8.7036
angles: 90.00 90.00 90.00
With the nearest neighbours (Å) after each atom.
Fractional coordinates of all 4 atoms:
Al 0.0000 0.0000 0.0000  8 Pb 3.14
Hg 0.0000 0.0000 0.5000  8 Pb 3.52, 4 Hg 3.55
Pb 0.5000 0.5000 0.2164  4 Al 3.14
Pb 0.5000 0.5000 0.7836  4 Al 3.14